Record 1
VASP calculation (GGA-PBE) on a relaxed structure of LiPr8Al2.

Calculated values
- calculated formation energy (eV/atom) = -0.082
- E (eV/f.u.) = -48.54

Structure (CIF):
```
data_LiPr8Al2
_cell_length_a 5.230
_cell_length_b 7.315
_cell_length_c 9.596
_cell_angle_alpha 101.86
_cell_angle_beta 105.81
_cell_angle_gamma 90.00
_symmetry_space_group_name_H-M 'P 1'
_symmetry_Int_Tables_number 1
loop_
_symmetry_equiv_pos_as_xyz
'x,y,z'
loop_
_atom_site_label
_atom_site_type_symbol
_atom_site_fract_x
_atom_site_fract_y
_atom_site_fract_z
Pr1 Pr 0.337 0.049 0.674
Pr2 Pr 0.598 0.467 0.195
Pr3 Pr 0.663 0.951 0.326
Pr4 Pr 0.973 0.249 0.946
Pr5 Pr 0.027 0.751 0.054
Pr6 Pr 0.806 0.716 0.613
Pr7 Pr 0.402 0.533 0.805
Pr8 Pr 0.194 0.284 0.387
Al1 Al 0.197 0.720 0.394
Al2 Al 0.803 0.280 0.606
Li1 Li 0.500 0.000 0.000
```

Record 2
VASP calculation (GGA-PBE) on a relaxed structure of Li2Pr3Al9.

Calculated values
- calculated formation energy (eV/atom) = -0.374
- E (eV/f.u.) = -57.08

Structure (CIF):
```
data_Li2Pr3Al9
_cell_length_a 4.457
_cell_length_b 8.512
_cell_length_c 8.512
_cell_angle_alpha 71.54
_cell_angle_beta 74.82
_cell_angle_gamma 74.82
_symmetry_space_group_name_H-M 'P 1'
_symmetry_Int_Tables_number 1
loop_
_symmetry_equiv_pos_as_xyz
'x,y,z'
loop_
_atom_site_label
_atom_site_type_symbol
_atom_site_fract_x
_atom_site_fract_y
_atom_site_fract_z
Al1 Al 0.136 0.141 0.588
Al2 Al 0.340 0.294 0.026
Al3 Al 0.864 0.859 0.412
Al4 Al 0.000 0.500 0.500
Al5 Al 0.340 0.026 0.294
Al6 Al 0.864 0.412 0.859
Al7 Al 0.660 0.974 0.706
Al8 Al 0.660 0.706 0.974
Al9 Al 0.136 0.588 0.141
Pr1 Pr 0.691 0.309 0.309
Pr2 Pr 0.309 0.691 0.691
Pr3 Pr 0.000 0.000 0.000
Li1 Li 0.500 0.702 0.298
Li2 Li 0.500 0.298 0.702
```

Record 3
VASP calculation (GGA-PBE) on a relaxed structure of LiPrAl.

Calculated values
- energy above the lowest structure with this stoichiometry (eV per atom) = 0.121
- calculated formation energy (eV/atom) = -0.096
- E (eV/f.u.) = -10.72

Structure (CIF):
```
data_LiPrAl
_cell_length_a 3.564
_cell_length_b 4.968
_cell_length_c 8.740
_cell_angle_alpha 73.57
_cell_angle_beta 101.85
_cell_angle_gamma 90.04
_symmetry_space_group_name_H-M 'P 1'
_symmetry_Int_Tables_number 1
loop_
_symmetry_equiv_pos_as_xyz
'x,y,z'
loop_
_atom_site_label
_atom_site_type_symbol
_atom_site_fract_x
_atom_site_fract_y
_atom_site_fract_z
Al1 Al 0.565 0.702 0.991
Al2 Al 0.401 0.864 0.664
Li1 Li 0.330 0.435 0.522
Li2 Li 0.174 0.590 0.209
Pr1 Pr 0.998 0.268 0.858
Pr2 Pr 0.728 0.036 0.318
```

Record 4
VASP calculation (GGA-PBE) on a relaxed structure of Li3Pr3Al8.

Calculated values
- calculated formation energy (eV/atom) = -0.343
- E (eV/f.u.) = -54.82

Structure (CIF):
```
data_Li3Pr3Al8
_cell_length_a 4.476
_cell_length_b 8.614
_cell_length_c 8.614
_cell_angle_alpha 70.23
_cell_angle_beta 74.94
_cell_angle_gamma 74.94
_symmetry_space_group_name_H-M 'P 1'
_symmetry_Int_Tables_number 1
loop_
_symmetry_equiv_pos_as_xyz
'x,y,z'
loop_
_atom_site_label
_atom_site_type_symbol
_atom_site_fract_x
_atom_site_fract_y
_atom_site_fract_z
Li1 Li 0.000 0.197 0.803
Li2 Li 0.500 0.000 0.000
Li3 Li 0.000 0.803 0.197
Pr1 Pr 0.200 0.800 0.800
Pr2 Pr 0.800 0.200 0.200
Pr3 Pr 0.500 0.500 0.500
Al1 Al 0.358 0.363 0.921
Al2 Al 0.843 0.522 0.793
Al3 Al 0.843 0.793 0.522
Al4 Al 0.642 0.079 0.637
Al5 Al 0.642 0.637 0.079
Al6 Al 0.157 0.207 0.478
Al7 Al 0.157 0.478 0.207
Al8 Al 0.358 0.921 0.363
```

Record 5
VASP calculation (GGA-PBE) on a relaxed structure of Li7PrAl5.

Calculated values
- calculated formation energy (eV/atom) = -0.189
- E (eV/f.u.) = -39.34

Structure (CIF):
```
data_Li7PrAl5
_cell_length_a 5.454
_cell_length_b 7.143
_cell_length_c 7.143
_cell_angle_alpha 81.11
_cell_angle_beta 67.56
_cell_angle_gamma 67.56
_symmetry_space_group_name_H-M 'P 1'
_symmetry_Int_Tables_number 1
loop_
_symmetry_equiv_pos_as_xyz
'x,y,z'
loop_
_atom_site_label
_atom_site_type_symbol
_atom_site_fract_x
_atom_site_fract_y
_atom_site_fract_z
Li1 Li 0.997 0.651 0.356
Li2 Li 0.353 0.647 0.647
Li3 Li 0.501 0.211 0.786
Li4 Li 0.653 0.347 0.347
Li5 Li 0.997 0.356 0.651
Li6 Li 0.286 0.214 0.214
Li7 Li 0.501 0.786 0.211
Pr1 Pr 0.003 0.997 0.997
Al1 Al 0.499 0.999 0.500
Al2 Al 0.707 0.793 0.793
Al3 Al 0.002 0.500 0.999
Al4 Al 0.499 0.500 0.999
Al5 Al 0.002 0.999 0.500
```

Record 6
VASP calculation (GGA-PBE) on a relaxed structure of LiPrAl.

Calculated values
- energy above the lowest structure with this stoichiometry (eV per atom) = 0.000
- calculated formation energy (eV/atom) = -0.216
- E (eV/f.u.) = -11.09

Structure (CIF):
```
data_LiPrAl
_cell_length_a 5.642
_cell_length_b 5.773
_cell_length_c 5.773
_cell_angle_alpha 62.11
_cell_angle_beta 60.75
_cell_angle_gamma 60.75
_symmetry_space_group_name_H-M 'P 1'
_symmetry_Int_Tables_number 1
loop_
_symmetry_equiv_pos_as_xyz
'x,y,z'
loop_
_atom_site_label
_atom_site_type_symbol
_atom_site_fract_x
_atom_site_fract_y
_atom_site_fract_z
Li1 Li 0.000 0.000 0.000
Li2 Li 0.500 0.000 0.000
Pr1 Pr 0.861 0.389 0.389
Pr2 Pr 0.139 0.611 0.611
Al1 Al 0.500 0.500 0.000
Al2 Al 0.500 0.000 0.500
```

Record 7
VASP calculation (GGA-PBE) on a relaxed structure of LiPrAl2.

Calculated values
- energy above the lowest structure with this stoichiometry (eV per atom) = 0.028
- calculated formation energy (eV/atom) = -0.225
- E (eV/f.u.) = -15.08

Structure (CIF):
```
data_LiPrAl2
_cell_length_a 3.430
_cell_length_b 3.430
_cell_length_c 7.207
_cell_angle_alpha 90.00
_cell_angle_beta 90.00
_cell_angle_gamma 90.00
_symmetry_space_group_name_H-M 'P 1'
_symmetry_Int_Tables_number 1
loop_
_symmetry_equiv_pos_as_xyz
'x,y,z'
loop_
_atom_site_label
_atom_site_type_symbol
_atom_site_fract_x
_atom_site_fract_y
_atom_site_fract_z
Al1 Al 0.000 0.000 0.807
Al2 Al 0.000 0.000 0.193
Pr1 Pr 0.500 0.500 0.500
Li1 Li 0.500 0.500 0.000
```

Record 8
VASP calculation (GGA-PBE) on a relaxed structure of Li2Pr3Al7.

Calculated values
- calculated formation energy (eV/atom) = -0.407
- E (eV/f.u.) = -49.25

Structure (CIF):
```
data_Li2Pr3Al7
_cell_length_a 5.675
_cell_length_b 5.675
_cell_length_c 9.474
_cell_angle_alpha 72.57
_cell_angle_beta 72.57
_cell_angle_gamma 60.00
_symmetry_space_group_name_H-M 'P 1'
_symmetry_Int_Tables_number 1
loop_
_symmetry_equiv_pos_as_xyz
'x,y,z'
loop_
_atom_site_label
_atom_site_type_symbol
_atom_site_fract_x
_atom_site_fract_y
_atom_site_fract_z
Pr1 Pr 0.140 0.140 0.579
Pr2 Pr 0.860 0.860 0.421
Pr3 Pr 0.000 0.000 0.000
Al1 Al 0.415 0.924 0.245
Al2 Al 0.500 0.500 0.500
Al3 Al 0.076 0.585 0.755
Al4 Al 0.924 0.415 0.245
Al5 Al 0.585 0.585 0.755
Al6 Al 0.415 0.415 0.245
Al7 Al 0.585 0.076 0.755
Li1 Li 0.665 0.665 0.006
Li2 Li 0.335 0.335 0.994
```

Record 9
VASP calculation (GGA-PBE) on a relaxed structure of LiPrAl2.

Calculated values
- energy above the lowest structure with this stoichiometry (eV per atom) = 0.000
- calculated formation energy (eV/atom) = -0.253
- E (eV/f.u.) = -15.19

Structure (CIF):
```
data_LiPrAl2
_cell_length_a 4.429
_cell_length_b 4.429
_cell_length_c 5.967
_cell_angle_alpha 68.21
_cell_angle_beta 68.21
_cell_angle_gamma 60.00
_symmetry_space_group_name_H-M 'P 1'
_symmetry_Int_Tables_number 1
loop_
_symmetry_equiv_pos_as_xyz
'x,y,z'
loop_
_atom_site_label
_atom_site_type_symbol
_atom_site_fract_x
_atom_site_fract_y
_atom_site_fract_z
Al1 Al 0.795 0.795 0.615
Al2 Al 0.205 0.205 0.385
Pr1 Pr 0.000 0.000 0.000
Li1 Li 0.500 0.500 0.500
```

Record 10
VASP calculation (GGA-PBE) on a relaxed structure of LiPr3Al2.

Calculated values
- energy above the lowest structure with this stoichiometry (eV per atom) = 0.018
- calculated formation energy (eV/atom) = -0.221
- E (eV/f.u.) = -25.06

Structure (CIF):
```
data_LiPr3Al2
_cell_length_a 3.739
_cell_length_b 3.739
_cell_length_c 11.702
_cell_angle_alpha 90.00
_cell_angle_beta 90.00
_cell_angle_gamma 90.00
_symmetry_space_group_name_H-M 'P 1'
_symmetry_Int_Tables_number 1
loop_
_symmetry_equiv_pos_as_xyz
'x,y,z'
loop_
_atom_site_label
_atom_site_type_symbol
_atom_site_fract_x
_atom_site_fract_y
_atom_site_fract_z
Al1 Al 0.500 0.500 0.834
Al2 Al 0.500 0.500 0.166
Pr1 Pr 0.000 0.000 0.319
Pr2 Pr 0.000 0.000 0.000
Pr3 Pr 0.000 0.000 0.681
Li1 Li 0.500 0.500 0.500
```

Record 11
VASP calculation (GGA-PBE) on a relaxed structure of LiPr2Al.

Calculated values
- calculated formation energy (eV/atom) = -0.188
- E (eV/f.u.) = -15.97

Structure (CIF):
```
data_LiPr2Al
_cell_length_a 5.347
_cell_length_b 5.347
_cell_length_c 5.347
_cell_angle_alpha 60.00
_cell_angle_beta 60.00
_cell_angle_gamma 60.00
_symmetry_space_group_name_H-M 'P 1'
_symmetry_Int_Tables_number 1
loop_
_symmetry_equiv_pos_as_xyz
'x,y,z'
loop_
_atom_site_label
_atom_site_type_symbol
_atom_site_fract_x
_atom_site_fract_y
_atom_site_fract_z
Pr1 Pr 0.000 0.000 0.000
Pr2 Pr 0.500 0.500 0.500
Li1 Li 0.750 0.750 0.750
Al1 Al 0.250 0.250 0.250
```

Record 12
VASP calculation (GGA-PBE) on a relaxed structure of LiPr6Al.

Calculated values
- calculated formation energy (eV/atom) = -0.069
- E (eV/f.u.) = -34.89

Structure (CIF):
```
data_LiPr6Al
_cell_length_a 5.283
_cell_length_b 5.283
_cell_length_c 9.801
_cell_angle_alpha 74.37
_cell_angle_beta 74.40
_cell_angle_gamma 90.00
_symmetry_space_group_name_H-M 'P 1'
_symmetry_Int_Tables_number 1
loop_
_symmetry_equiv_pos_as_xyz
'x,y,z'
loop_
_atom_site_label
_atom_site_type_symbol
_atom_site_fract_x
_atom_site_fract_y
_atom_site_fract_z
Al1 Al 0.500 0.500 0.000
Pr1 Pr 0.606 0.106 0.787
Pr2 Pr 0.252 0.252 0.497
Pr3 Pr 0.394 0.894 0.213
Pr4 Pr 0.894 0.394 0.213
Pr5 Pr 0.748 0.748 0.503
Pr6 Pr 0.106 0.606 0.787
Li1 Li 0.000 0.000 0.000
```

- What is the calculated formation energy in the third record?
  -0.096 eV/atom

- E of number 6 (LiPrAl)?
  -11.09 eV/f.u.